FeCuSnIr: relaxed, PBE.

abc: 4.4100 4.4100 4.4100
angles: 60.00 60.00 60.00
Sites, in units of the cell vectors:
1 Ir 0.0000 0.0000 0.0000
2 Cu 0.5000 0.5000 0.5000
3 Sn 0.2500 0.2500 0.2500
4 Fe 0.7500 0.7500 0.7500

Properties
- Energy of formation from the pure elements: 1.378 kcal/mol of atoms
- Fermi-level density of states: 2.79 states/eV per cell


Li2SiRu: relaxed, PBE.

abc: 2.5244 2.5244 8.5268
angles: 90.00 90.00 89.99
Sites, in units of the cell vectors:
1 Ru 0.5000 0.5000 0.2500
2 Li 0.0000 0.0000 0.9955
3 Li 0.0000 0.0000 0.5045
4 Si 0.5000 0.5000 0.7500

Properties
- Final energy: -18.380 eV per cell
- Fermi-level density of states: 2.14 states/eV per cell


RbTc2Ir: relaxed, PBE.

abc: 4.5915 4.5915 4.5915
angles: 60.00 60.00 60.00
Sites, in units of the cell vectors:
1 Tc 0.7500 0.7500 0.7500
2 Tc 0.2500 0.2500 0.2500
3 Rb 0.0000 0.0000 0.0000
4 Ir 0.5000 0.5000 0.5000

Properties
- Energy of formation from the pure elements: 36.997 kcal/mol of atoms
- Fermi-level density of states: 7.11 states/eV per cell
- E above lowest polymorph: 0.0536 eV/atom


Ac2CeTl5: relaxed, PBE.

abc: 5.7022 5.7022 8.8684
angles: 108.75 108.75 90.00
Sites, in units of the cell vectors:
1 Tl 0.5000 0.5000 0.0000
2 Tl 0.8861 0.3861 0.7721
3 Tl 0.1139 0.6139 0.2279
4 Tl 0.6139 0.1139 0.2279
5 Tl 0.3861 0.8861 0.7721
6 Ac 0.7390 0.7390 0.4781
7 Ac 0.2610 0.2610 0.5219
8 Ce 0.0000 0.0000 0.0000

Properties
- Energy of formation from the pure elements: -5.426 kcal/mol of atoms
- Fermi-level density of states: 12.67 states/eV per cell


Ga2Co2Re: relaxed, PBE.

abc: 6.8925 6.8925 2.6773
angles: 90.00 90.00 90.00
Sites, in units of the cell vectors:
1 Re 0.5000 0.5000 0.0000
2 Re 0.0000 0.0000 0.0000
3 Ga 0.8659 0.6341 0.0000
4 Ga 0.6341 0.1341 0.0000
5 Ga 0.1341 0.3659 0.0000
6 Ga 0.3659 0.8659 0.0000
7 Co 0.3346 0.1654 0.5000
8 Co 0.1654 0.6654 0.5000
9 Co 0.8346 0.3346 0.5000
10 Co 0.6654 0.8346 0.5000

Properties
- Energy of formation from the pure elements: 0.214 kcal/mol of atoms
- Fermi-level density of states: 9.66 states/eV per cell
- E above lowest polymorph: 0.0000 eV/atom


Sr4Zn3: relaxed, PBE.

abc: 5.5466 5.5466 9.5968
angles: 73.20 73.20 60.00
Sites, in units of the cell vectors:
1 Zn 0.7495 0.7495 0.7515
2 Zn 0.0000 0.0000 0.0000
3 Zn 0.2505 0.2505 0.2485
4 Sr 0.3737 0.3737 0.8789
5 Sr 0.6263 0.6263 0.1211
6 Sr 0.8763 0.8763 0.3710
7 Sr 0.1237 0.1237 0.6290

Properties
- Energy of formation from the pure elements: -2.859 kcal/mol of atoms
- Fermi-level density of states: 5.23 states/eV per cell
- E above lowest polymorph: 0.0000 eV/atom


Ac2Nd9Y: relaxed, PBE.

abc: 6.1730 6.1730 11.5166
angles: 90.00 90.00 90.00
Sites, in units of the cell vectors:
1 Nd 0.5000 0.0000 0.5000
2 Nd 0.5000 0.5000 0.0000
3 Nd 0.5000 0.0000 0.1584
4 Nd 0.5000 0.0000 0.8416
5 Nd 0.0000 0.5000 0.5000
6 Nd 0.0000 0.5000 0.8416
7 Nd 0.5000 0.5000 0.3376
8 Nd 0.0000 0.5000 0.1584
9 Nd 0.5000 0.5000 0.6624
10 Ac 0.0000 0.0000 0.3309
11 Ac 0.0000 0.0000 0.6691
12 Y 0.0000 0.0000 0.0000

Properties
- Energy of formation from the pure elements: 2.647 kcal/mol of atoms
- Fermi-level density of states: 27.02 states/eV per cell


Ce2UPt9: relaxed, PBE.

abc: 4.1694 4.1694 12.5120
angles: 90.00 90.00 90.00
Sites, in units of the cell vectors:
1 Pt 0.0000 0.5000 0.8354
2 Pt 0.0000 0.5000 0.5000
3 Pt 0.0000 0.5000 0.1646
4 Pt 0.5000 0.0000 0.5000
5 Pt 0.5000 0.5000 0.3324
6 Pt 0.5000 0.0000 0.8354
7 Pt 0.5000 0.0000 0.1646
8 Pt 0.5000 0.5000 0.6676
9 Pt 0.5000 0.5000 0.0000
10 Ce 0.0000 0.0000 0.3338
11 Ce 0.0000 0.0000 0.6662
12 U 0.0000 0.0000 0.0000

Properties
- Energy of formation from the pure elements: -20.715 kcal/mol of atoms
- Fermi-level density of states: 12.94 states/eV per cell
- E above lowest polymorph: 0.0000 eV/atom


K2Cu2GeCl6: relaxed, PBE.

abc: 7.3673 7.2569 7.4895
angles: 115.96 90.00 120.50
Sites, in units of the cell vectors:
1 Ge 0.5000 0.0000 0.5000
2 Cl 0.6918 0.8913 0.1989
3 Cl 0.7433 0.4866 0.6313
4 Cl 0.1995 0.8913 0.1989
5 Cl 0.8005 0.1087 0.8011
6 Cl 0.2567 0.5134 0.3687
7 Cl 0.3082 0.1087 0.8011
8 K 0.7282 0.4565 0.1985
9 K 0.2718 0.5435 0.8015
10 Cu 0.0480 0.0960 0.2068
11 Cu 0.9520 0.9040 0.7932

Properties
- Final energy: -37.915 eV per cell
- Fermi-level density of states: 0.00 states/eV per cell


Rb3TeF: relaxed, PBE.

abc: 6.5358 7.0528 7.0528
angles: 96.17 90.00 90.00
Sites, in units of the cell vectors:
1 Te 0.5000 0.1198 0.8802
2 Rb 0.0000 0.2086 0.7914
3 Rb 0.5000 0.6259 0.7769
4 Rb 0.5000 0.2231 0.3741
5 F 0.0000 0.4507 0.5493

Properties
- Fermi-level density of states: 0.00 states/eV per cell
- E above lowest polymorph: 0.3207 eV/atom


SmTm4: relaxed, PBE.

abc: 5.5477 5.5477 5.5477
angles: 90.00 90.00 90.00
Sites, in units of the cell vectors:
1 Tm 0.0000 0.0000 0.0000
2 Tm 0.5000 0.5000 0.0000
3 Tm 0.0000 0.5000 0.5000
4 Tm 0.5000 0.0000 0.5000
5 Sm 0.5000 0.5000 0.5000

Properties
- Energy of formation from the pure elements: 17.031 kcal/mol of atoms
- Fermi-level density of states: 7.32 states/eV per cell
- E above lowest polymorph: 0.7295 eV/atom


CaAc5Ge4: relaxed, PBE.

abc: 5.3569 7.5855 11.8800
angles: 132.20 103.03 90.00
Sites, in units of the cell vectors:
1 Ac 0.5000 0.5000 0.0000
2 Ac 0.1670 0.8404 0.3340
3 Ac 0.8330 0.1596 0.6660
4 Ac 0.8437 0.6988 0.6874
5 Ac 0.1563 0.3012 0.3126
6 Ca 0.5000 0.0000 0.0000
7 Ge 0.6794 0.1104 0.3588
8 Ge 0.3206 0.8896 0.6412
9 Ge 0.0108 0.2680 0.0215
10 Ge 0.9892 0.7320 0.9785

Properties
- Energy of formation from the pure elements: -12.240 kcal/mol of atoms
- Fermi-level density of states: 5.10 states/eV per cell


Question: What is the formula in the ninth record?
Answer: K2Cu2GeCl6


Question: Which formula does entry 12 have?
Answer: CaAc5Ge4


Question: Look up the Fermi-level density of states of the twelfth one.
Answer: 5.10 states/eV per cell